Record 1
NiAg2SnOs: relaxed, GGA-PBE.

Cell: 4.761 4.479 4.761 Å, 90.00 90.00 90.00°
Positions (direct):
Sn 0.500 0.500 0.500
Ag 0.000 0.000 0.500
Ag 0.500 0.000 0.000
Ni 0.000 0.000 0.000
Os 0.000 0.500 0.000

Properties
- space-group type = P4/mmm
- calculated volume (Å³ per atom) = 20.30
- calculated total energy (eV/atom) = -4.335

---

Record 2
YNiAgOs2: relaxed, GGA-PBE.

Cell: 4.861 4.546 4.861 Å, 90.00 90.00 90.00°
Positions (direct):
Ag 0.000 0.000 0.000
Os 0.500 0.000 0.000
Os 0.000 0.000 0.500
Y 0.500 0.500 0.500
Ni 0.000 0.500 0.000

Properties
- space-group type = P4/mmm
- calculated volume (Å³ per atom) = 21.48
- calculated total energy (eV/atom) = -5.847

---

Record 3
ZrNiAg2Os: relaxed, GGA-PBE.

Cell: 4.576 4.608 4.576 Å, 90.00 90.00 90.00°
Positions (direct):
Zr 0.000 0.500 0.000
Ag 0.500 0.000 0.000
Ag 0.000 0.000 0.500
Os 0.500 0.500 0.500
Ni 0.000 0.000 0.000

Properties
- space-group type = P4/mmm
- calculated volume (Å³ per atom) = 19.30
- calculated total energy (eV/atom) = -5.137

---

Record 4
NiAg3P: relaxed, GGA-PBE.

Cell: 4.678 4.678 4.678 Å, 90.00 90.00 90.00°
Positions (direct):
P 0.000 0.000 0.000
Ag 0.000 0.500 0.000
Ag 0.000 0.000 0.500
Ag 0.500 0.000 0.000
Ni 0.500 0.500 0.500

Properties
- space-group type = Pm-3m
- calculated volume (Å³ per atom) = 20.47
- calculated total energy (eV/atom) = -3.270